K3Ag | GGA-PBEsol | relaxed

a = 4.659 Å, b = 4.659 Å, c = 11.853 Å
α = 78.66°, β = 78.66°, γ = 60.00°
Positions (direct):
K (0.276, 0.276, 0.171)
K (0.724, 0.724, 0.829)
K (0.500, 0.500, 0.500)
Ag (0.000, 0.000, 0.000)

## Properties
energy of formation from the pure elements = 58 kJ/mol of formula units
Fermi-level density of states = 2.5 states/eV/cell
uncorrected energy = -1.528 eV per atom

=====

Ti2Bi2O7 | GGA-PBEsol | relaxed

a = 7.336 Å, b = 7.392 Å, c = 10.381 Å
α = 90.00°, β = 90.00°, γ = 90.00°
Positions (direct):
O (0.988, 0.240, 0.316)
O (0.012, 0.740, 0.684)
O (0.985, 0.739, 0.379)
O (0.310, 0.566, 0.624)
O (0.673, 0.448, 0.364)
O (0.497, 0.256, 0.573)
O (0.810, 0.566, 0.876)
O (0.291, 0.455, 0.377)
O (0.709, 0.955, 0.623)
O (0.003, 0.756, 0.073)
O (0.827, 0.948, 0.864)
O (0.485, 0.739, 0.121)
O (0.015, 0.239, 0.621)
O (0.205, 0.569, 0.886)
O (0.327, 0.948, 0.636)
O (0.997, 0.256, 0.927)
O (0.503, 0.756, 0.427)
O (0.209, 0.955, 0.877)
O (0.512, 0.740, 0.816)
O (0.190, 0.066, 0.124)
O (0.173, 0.448, 0.136)
O (0.488, 0.240, 0.184)
O (0.515, 0.239, 0.879)
O (0.795, 0.069, 0.114)
O (0.791, 0.455, 0.123)
O (0.690, 0.066, 0.376)
O (0.295, 0.069, 0.386)
O (0.705, 0.569, 0.614)
Ti (0.741, 0.254, 0.239)
Ti (0.241, 0.254, 0.261)
Ti (0.507, 0.494, 0.509)
Ti (0.993, 0.994, 0.009)
Ti (0.259, 0.754, 0.761)
Ti (0.759, 0.754, 0.739)
Ti (0.007, 0.494, 0.991)
Ti (0.493, 0.994, 0.491)
Bi (0.277, 0.207, 0.738)
Bi (0.723, 0.707, 0.262)
Bi (0.032, 0.524, 0.530)
Bi (0.968, 0.024, 0.470)
Bi (0.777, 0.207, 0.762)
Bi (0.223, 0.707, 0.238)
Bi (0.468, 0.024, 0.030)
Bi (0.532, 0.524, 0.970)

## Properties
Fermi-level density of states = 0.0 states/eV/cell
uncorrected energy = -7.890 eV per atom

=====

TePdI2 | GGA-PBEsol | relaxed

a = 4.008 Å, b = 6.938 Å, c = 9.306 Å
α = 67.26°, β = 89.94°, γ = 89.97°
Positions (direct):
I (0.749, 0.961, 0.186)
I (0.250, 0.711, 0.583)
I (0.251, 0.039, 0.814)
I (0.750, 0.289, 0.417)
Pd (0.250, 0.238, 0.020)
Pd (0.750, 0.762, 0.980)
Te (0.750, 0.487, 0.853)
Te (0.250, 0.513, 0.147)

## Properties
Fermi-level density of states = 0.6 states/eV/cell
uncorrected energy = -3.517 eV per atom

=====

MgTeOs2 | GGA-PBEsol | relaxed

a = 4.449 Å, b = 4.449 Å, c = 4.449 Å
α = 60.00°, β = 60.00°, γ = 60.00°
Positions (direct):
Te (0.000, 0.000, 0.000)
Os (0.750, 0.750, 0.750)
Os (0.250, 0.250, 0.250)
Mg (0.500, 0.500, 0.500)

## Properties
Fermi-level density of states = 0.7 states/eV/cell
uncorrected energy = -6.995 eV per atom

=====

Be2AlF | GGA-PBEsol | relaxed

a = 4.958 Å, b = 5.417 Å, c = 4.958 Å
α = 62.77°, β = 90.00°, γ = 117.23°
Positions (direct):
F (0.250, 0.500, 0.250)
F (0.500, 0.000, 0.500)
Be (0.235, 0.750, 0.875)
Be (0.375, 0.250, 0.235)
Be (0.515, 0.750, 0.375)
Be (0.875, 0.250, 0.515)
Al (0.750, 0.500, 0.750)
Al (0.000, 0.000, 0.000)

## Properties
Fermi-level density of states = 2.6 states/eV/cell
uncorrected energy = -3.697 eV per atom

=====

Rb3ZnSe | GGA-PBEsol | relaxed

a = 6.528 Å, b = 6.528 Å, c = 6.528 Å
α = 90.00°, β = 90.00°, γ = 90.00°
Positions (direct):
Zn (0.500, 0.500, 0.500)
Rb (0.500, 0.000, 0.000)
Rb (0.000, 0.500, 0.000)
Rb (0.000, 0.000, 0.500)
Se (0.000, 0.000, 0.000)

## Properties
Fermi-level density of states = 3.6 states/eV/cell
uncorrected energy = -2.016 eV per atom

=====

CrAgTe2 | GGA-PBEsol | relaxed

a = 3.619 Å, b = 4.856 Å, c = 4.848 Å
α = 90.00°, β = 90.00°, γ = 90.00°
Last column: magnetic moment on the atom in μB.
Positions (direct):
Ag (0.500, 0.500, 0.000)  -0.03
Te (0.000, 0.500, 0.500)  -0.12
Te (0.000, 0.000, 0.000)  -0.12
Cr (0.500, 0.000, 0.500)  3.56

## Properties
Fermi-level density of states = 2.0 states/eV/cell
uncorrected energy = -4.845 eV per atom

=====

Al6Ag5 | GGA-PBEsol | relaxed

a = 2.908 Å, b = 6.902 Å, c = 9.310 Å
α = 104.79°, β = 98.98°, γ = 90.00°
Positions (direct):
Al (0.544, 0.347, 0.088)
Al (0.724, 0.821, 0.449)
Al (0.276, 0.185, 0.551)
Al (0.362, 0.916, 0.725)
Al (0.182, 0.455, 0.364)
Al (0.455, 0.636, 0.910)
Ag (0.910, 0.281, 0.820)
Ag (0.817, 0.557, 0.634)
Ag (0.997, 0.989, 0.995)
Ag (0.642, 0.101, 0.284)
Ag (0.090, 0.710, 0.181)

## Properties
energy of formation from the pure elements = -52 kJ/mol of formula units
Fermi-level density of states = 3.4 states/eV/cell
uncorrected energy = -3.786 eV per atom

=====

FeIrW2 | GGA-PBEsol | relaxed

a = 2.720 Å, b = 4.648 Å, c = 4.723 Å
α = 99.28°, β = 90.00°, γ = 107.02°
Last column: magnetic moment on the atom in μB.
Positions (direct):
Fe (0.498, 0.996, 0.515)  1.09
W (0.005, 0.009, 0.021)  -0.05
W (0.243, 0.486, 0.721)  -0.06
Ir (0.755, 0.509, 0.243)  0.01

## Properties
energy of formation from the pure elements = 11 kJ/mol of formula units
Fermi-level density of states = 3.9 states/eV/cell
uncorrected energy = -11.571 eV per atom

=====

SrLaAs | GGA-PBEsol | relaxed

a = 5.020 Å, b = 5.020 Å, c = 5.020 Å
α = 60.00°, β = 60.00°, γ = 60.00°
Positions (direct):
Sr (0.250, 0.250, 0.250)
La (0.500, 0.500, 0.500)
As (0.000, 0.000, 0.000)

## Properties
energy of formation from the pure elements = 19 kJ/mol of formula units
Fermi-level density of states = 4.3 states/eV/cell
uncorrected energy = -4.031 eV per atom

=====

BaIn2Pt | GGA-PBEsol | relaxed

a = 4.669 Å, b = 4.669 Å, c = 6.536 Å
α = 69.07°, β = 69.07°, γ = 60.00°
Positions (direct):
In (0.784, 0.784, 0.647)
In (0.038, 0.038, 0.885)
Pt (0.426, 0.426, 0.723)
Ba (0.243, 0.243, 0.271)

## Properties
energy of formation from the pure elements = -211 kJ/mol of formula units
Fermi-level density of states = 2.6 states/eV/cell
uncorrected energy = -4.317 eV per atom

=====

Sr2CuBr2O2 | GGA-PBEsol | relaxed

a = 3.946 Å, b = 3.946 Å, c = 9.106 Å
α = 102.51°, β = 102.51°, γ = 90.00°
Positions (direct):
Br (0.177, 0.177, 0.354)
Br (0.823, 0.823, 0.646)
Sr (0.404, 0.404, 0.807)
Sr (0.596, 0.596, 0.193)
O (0.500, 0.000, 0.000)
O (0.000, 0.500, 0.000)
Cu (0.000, 0.000, 0.000)

## Properties
Fermi-level density of states = 0.9 states/eV/cell
uncorrected energy = -5.142 eV per atom

=====

TcAsW2 | GGA-PBEsol | relaxed

a = 2.845 Å, b = 2.845 Å, c = 8.814 Å
α = 80.71°, β = 80.71°, γ = 60.00°
Positions (direct):
Tc (0.000, 0.000, 0.000)
W (0.250, 0.250, 0.249)
W (0.750, 0.750, 0.751)
As (0.500, 0.500, 0.500)

## Properties
energy of formation from the pure elements = 111 kJ/mol of formula units
Fermi-level density of states = 3.3 states/eV/cell
uncorrected energy = -10.709 eV per atom

=====

AlSbMo2 | GGA-PBEsol | relaxed

a = 3.346 Å, b = 4.663 Å, c = 5.115 Å
α = 117.12°, β = 109.09°, γ = 90.00°
Positions (direct):
Mo (0.745, 0.745, 0.490)
Mo (0.255, 0.255, 0.510)
Al (0.000, 0.500, 0.000)
Sb (0.500, 0.000, 0.000)

## Properties
Fermi-level density of states = 3.2 states/eV/cell
uncorrected energy = -7.804 eV per atom

=====

Rb3HfI | GGA-PBEsol | relaxed

a = 6.755 Å, b = 6.755 Å, c = 6.755 Å
α = 90.00°, β = 90.00°, γ = 90.00°
Last column: magnetic moment on the atom in μB.
Positions (direct):
Hf (0.500, 0.500, 0.500)  1.50
Rb (0.500, 0.000, 0.000)  0.02
Rb (0.000, 0.000, 0.500)  0.02
Rb (0.000, 0.500, 0.000)  0.02
I (0.000, 0.000, 0.000)  0.02

## Properties
Fermi-level density of states = 13.2 states/eV/cell
uncorrected energy = -2.465 eV per atom

=====

Hf8FeTe6 | GGA-PBEsol | relaxed

a = 3.672 Å, b = 7.560 Å, c = 25.723 Å
α = 90.00°, β = 90.00°, γ = 90.00°
Positions (direct):
Hf (0.000, 0.055, 0.401)
Hf (0.000, 0.061, 0.199)
Hf (0.500, 0.545, 0.000)
Hf (0.000, 0.055, 0.599)
Hf (0.000, 0.061, 0.801)
Hf (0.000, 0.928, 0.000)
Hf (0.500, 0.945, 0.099)
Hf (0.000, 0.264, 0.934)
Hf (0.500, 0.939, 0.699)
Hf (0.000, 0.455, 0.500)
Hf (0.500, 0.072, 0.500)
Hf (0.500, 0.736, 0.566)
Hf (0.000, 0.264, 0.066)
Hf (0.500, 0.939, 0.301)
Hf (0.500, 0.736, 0.434)
Hf (0.500, 0.945, 0.901)
Te (0.000, 0.224, 0.702)
Te (0.500, 0.304, 0.155)
Te (0.500, 0.776, 0.798)
Te (0.500, 0.776, 0.202)
Te (0.500, 0.348, 0.417)
Te (0.000, 0.224, 0.298)
Te (0.000, 0.696, 0.345)
Te (0.500, 0.348, 0.583)
Te (0.000, 0.652, 0.083)
Te (0.000, 0.696, 0.655)
Te (0.000, 0.652, 0.917)
Te (0.500, 0.304, 0.845)
Fe (0.500, 0.196, 0.000)
Fe (0.000, 0.804, 0.500)

## Properties
Fermi-level density of states = 17.7 states/eV/cell
uncorrected energy = -8.266 eV per atom

=====

NaGaAs2I | GGA-PBEsol | relaxed

a = 5.044 Å, b = 5.044 Å, c = 5.817 Å
α = 90.00°, β = 90.00°, γ = 90.00°
Last column: magnetic moment on the atom in μB.
Positions (direct):
Ga (0.500, 0.500, 0.500)  0.00
I (0.000, 0.000, 0.500)  0.06
Na (0.000, 0.000, 0.000)  0.00
As (0.500, 0.000, 0.000)  0.10
As (0.000, 0.500, 0.000)  0.10

## Properties
Fermi-level density of states = 6.0 states/eV/cell
uncorrected energy = -2.557 eV per atom

=====

Li2CoSiO4 | GGA-PBEsol | relaxed

a = 5.219 Å, b = 5.219 Å, c = 6.197 Å
α = 90.00°, β = 90.00°, γ = 92.36°
Last column: magnetic moment on the atom in μB.
Positions (direct):
O (0.137, 0.793, 0.002)  0.08
O (0.693, 0.697, 0.781)  0.07
O (0.303, 0.307, 0.719)  0.07
O (0.793, 0.137, 0.998)  0.08
O (0.697, 0.693, 0.219)  0.07
O (0.207, 0.863, 0.498)  0.08
O (0.307, 0.303, 0.281)  0.07
O (0.863, 0.207, 0.502)  0.08
Co (0.321, 0.679, 0.250)  2.50
Co (0.679, 0.321, 0.750)  2.50
Li (0.184, 0.184, 0.000)  0.00
Li (0.816, 0.816, 0.500)  0.00
Li (0.686, 0.314, 0.250)  0.00
Li (0.314, 0.686, 0.750)  0.00
Si (0.823, 0.823, 0.000)  0.01
Si (0.177, 0.177, 0.500)  0.01

## Properties
Fermi-level density of states = 0.2 states/eV/cell
uncorrected energy = -6.841 eV per atom

=====

LaCoCl | GGA-PBEsol | relaxed

a = 3.874 Å, b = 3.970 Å, c = 3.970 Å
α = 120.00°, β = 90.00°, γ = 90.00°
Positions (direct):
Co (0.000, 0.333, 0.667)
La (0.500, 0.667, 0.333)
Cl (0.000, 0.000, 0.000)

## Properties
Fermi-level density of states = 2.6 states/eV/cell
uncorrected energy = -5.592 eV per atom

=====

KTbC2O6 | GGA-PBEsol | relaxed

a = 6.359 Å, b = 6.359 Å, c = 6.906 Å
α = 102.78°, β = 102.78°, γ = 98.17°
Positions (direct):
O (0.707, 0.753, 0.119)
O (0.558, 0.091, 0.775)
O (0.753, 0.707, 0.619)
O (0.247, 0.293, 0.381)
O (0.091, 0.558, 0.275)
O (0.293, 0.247, 0.881)
O (0.201, 0.967, 0.604)
O (0.967, 0.201, 0.104)
O (0.442, 0.909, 0.225)
O (0.799, 0.033, 0.396)
O (0.033, 0.799, 0.896)
O (0.909, 0.442, 0.725)
C (0.357, 0.105, 0.754)
C (0.895, 0.643, 0.746)
C (0.105, 0.357, 0.254)
C (0.643, 0.895, 0.246)
K (0.377, 0.623, 0.750)
K (0.623, 0.377, 0.250)
Tb (0.092, 0.908, 0.250)
Tb (0.908, 0.092, 0.750)

## Properties
Fermi-level density of states = 0.0 states/eV/cell
uncorrected energy = -7.875 eV per atom